FeMoO | PBE+U | relaxed

abc: 2.8632 2.8632 5.3261
angles: 90.00 90.00 120.00
Last column: magnetic moment on the atom in μB.
Positions (direct):
Mo  0.6667  0.3333  0.2227  0.32
Fe  0.0000  0.0000  0.7850  3.61
O  0.3333  0.6667  0.4923  0.05

Calculated values
E = -18.0 eV/f.u.
Density of states at the Fermi level = 0.92 states/eV/f.u.
M_tot = 3.98 μB per formula unit
Space-group type = No. 156
Volume = 12.60 A^3/atom